## A
Crystalline AgOs at its relaxed geometry, computed with PBE-GGA.

Output
Crystal system = hexagonal

Unit cell a=7.9901 b=7.9901 c=3.7857 alpha=90.00 beta=90.00 gamma=120.00
Space group P6_3/mmc (No. 194)
Symmetry-distinct sites (fractional):
Ag 0.1512 0.3025 0.2500 [6 per cell]
Os 0.1190 0.5595 0.7500 [6 per cell]

## B
Crystalline AgOs at its relaxed geometry, computed with PBE-GGA.

Output
Crystal system = orthorhombic

Unit cell a=4.799 b=7.823 c=14.702 alpha=90.00 beta=90.00 gamma=90.00
Space group Fddd (No. 70, origin choice 2)
Symmetry-distinct sites (fractional):
Ag 0.125 0.291 0.125 [16 per cell]
Os 0.125 0.125 0.541 [16 per cell]

## C
Crystalline AgOs at its relaxed geometry, computed with PBE-GGA.

Output
Crystal system = orthorhombic

Unit cell a=2.746 b=11.252 c=4.269 alpha=90.00 beta=90.00 gamma=90.00
Space group Cmcm (No. 63)
Symmetry-distinct sites (fractional):
Ag 0.000 0.187 0.250 [4 per cell]
Os 0.000 0.448 0.250 [4 per cell]

## D
Crystalline AgOs at its relaxed geometry, computed with PBE-GGA.

Output
Crystal system = tetragonal

Unit cell a=4.096 b=4.096 c=7.458 alpha=90.00 beta=90.00 gamma=90.00
Space group I4_1/amd (No. 141, origin choice 2)
Symmetry-distinct sites (fractional):
Ag 0.000 0.250 0.375 [4 per cell]
Os 0.000 0.250 0.875 [4 per cell]

Among the structures shown above, A is the most stable, with the second-best lying 9.6 kJ/mol of atoms higher.